Entry from Alexandria via LeMat-Bulk: a relaxed structure of Pr2YHg2 (PBE).

Cell lengths 4.109, 7.362, 10.173 Å; angles 90.00, 90.00, 90.00 degrees
Space group Immm (No. 71)
Inequivalent atoms, fractional coordinates:
Pr (0.000, 0.000, 0.208) (multiplicity 4)
Y (0.000, 0.500, 0.000) (multiplicity 2)
Hg (0.000, 0.295, 0.500) (multiplicity 4)

Calculated values
Calculated density, g cm⁻³: 8.3
Polymorph energy (0 for the lowest one), eV per atom: 0.0765
Size of the total moment, μB per cell: 0.0
Uncorrected energy, eV/atom: -3.625
Energy relative to the elements, meV/atom: -299


Entry from Alexandria via LeMat-Bulk: a relaxed structure of Pr3Y2Hg2 (PBE).

Cell lengths 9.530, 5.510, 8.710 Å; angles 90.00, 111.40, 90.00 degrees
Space group C2/m (No. 12)
Inequivalent atoms, fractional coordinates:
Pr (0.000, 0.000, 0.000) (multiplicity 2)
Pr (0.159, 0.000, 0.478) (multiplicity 4)
Y (0.075, 0.500, 0.724) (multiplicity 4)
Hg (0.211, 0.500, 0.133) (multiplicity 4)

Calculated values
Calculated density, g cm⁻³: 7.8
Polymorph energy (0 for the lowest one), eV per atom: 0.0000
Size of the total moment, μB per cell: 0.0
Uncorrected energy, eV/atom: -4.223
Energy relative to the elements, meV/atom: -241


Entry from Alexandria via LeMat-Bulk: a relaxed structure of PrY2Hg6 (PBE).

Cell lengths 8.6404, 8.6404, 3.4881 Å; angles 90.00, 90.00, 120.00 degrees
Space group P6/mmm (No. 191)
Inequivalent atoms, fractional coordinates:
Pr (0.0000, 0.0000, 0.0000) (multiplicity 1)
Y (0.3333, 0.6667, 0.0000) (multiplicity 2)
Hg (0.0000, 0.3358, 0.5000) (multiplicity 6)

Calculated values
Calculated density, g cm⁻³: 11.2
Size of the total moment, μB per cell: 0.4
Uncorrected energy, eV/atom: -2.580
Energy relative to the elements, meV/atom: -411


Entry from Alexandria via LeMat-Bulk: a relaxed structure of Pr2YHg8 (PBE).

Cell lengths 5.230, 7.525, 14.667 Å; angles 90.00, 90.00, 90.00 degrees
Space group Immm (No. 71)
Inequivalent atoms, fractional coordinates:
Pr (0.000, 0.000, 0.196) (multiplicity 4)
Y (0.000, 0.000, 0.500) (multiplicity 2)
Hg (0.000, 0.215, 0.000) (multiplicity 4)
Hg (0.000, 0.291, 0.359) (multiplicity 8)
Hg (0.000, 0.500, 0.156) (multiplicity 4)

Calculated values
Calculated density, g cm⁻³: 11.4
Size of the total moment, μB per cell: 0.0
Uncorrected energy, eV/atom: -2.017
Energy relative to the elements, meV/atom: -341


Entry from Alexandria via LeMat-Bulk: a relaxed structure of Pr7YHg4 (PBE).

Cell lengths 15.128, 5.889, 10.218 Å; angles 90.00, 123.28, 90.00 degrees
Space group C2/m (No. 12)
Inequivalent atoms, fractional coordinates:
Pr (0.000, 0.000, 0.000) (multiplicity 2)
Pr (0.062, 0.500, 0.398) (multiplicity 4)
Pr (0.217, 0.500, 0.899) (multiplicity 4)
Pr (0.230, 0.000, 0.683) (multiplicity 4)
Y (0.000, 0.500, 0.000) (multiplicity 2)
Hg (0.046, 0.000, 0.730) (multiplicity 4)
Hg (0.188, 0.000, 0.344) (multiplicity 4)

Calculated values
Calculated density, g cm⁻³: 8.2
Size of the total moment, μB per cell: 0.0
Uncorrected energy, eV/atom: -3.562
Energy relative to the elements, meV/atom: -135


Entry from Alexandria via LeMat-Bulk: a relaxed structure of PrY2Hg5 (PBE).

Cell lengths 5.276, 5.276, 14.752 Å; angles 90.00, 90.00, 90.00 degrees
Space group I4/mmm (No. 139)
Inequivalent atoms, fractional coordinates:
Pr (0.000, 0.000, 0.000) (multiplicity 2)
Y (0.000, 0.000, 0.267) (multiplicity 4)
Hg (0.000, 0.000, 0.500) (multiplicity 2)
Hg (0.000, 0.500, 0.128) (multiplicity 8)

Calculated values
Calculated density, g cm⁻³: 10.7
Size of the total moment, μB per cell: 0.0
Uncorrected energy, eV/atom: -2.859
Energy relative to the elements, meV/atom: -456


Entry from Alexandria via LeMat-Bulk: a relaxed structure of PrY2Hg (PBE).

Cell lengths 3.6681, 3.6681, 31.9941 Å; angles 90.00, 90.00, 120.00 degrees
Space group R-3m (No. 166, hexagonal axes)
Inequivalent atoms, fractional coordinates:
Pr (0.0000, 0.0000, 0.0000) (multiplicity 3)
Y (0.0000, 0.0000, 0.2407) (multiplicity 6)
Hg (0.0000, 0.0000, 0.5000) (multiplicity 3)

Calculated values
Calculated density, g cm⁻³: 6.9
Polymorph energy (0 for the lowest one), eV per atom: 0.0627
Size of the total moment, μB per cell: 0.0
Uncorrected energy, eV/atom: -4.687
Energy relative to the elements, meV/atom: -185


Entry from Alexandria via LeMat-Bulk: a relaxed structure of PrY2Hg (PBE).

Cell lengths 4.901, 4.901, 4.850 Å; angles 90.00, 90.00, 90.00 degrees
Space group P4/mmm (No. 123)
Inequivalent atoms, fractional coordinates:
Pr (0.000, 0.000, 0.000) (multiplicity 1)
Y (0.000, 0.500, 0.500) (multiplicity 2)
Hg (0.500, 0.500, 0.000) (multiplicity 1)

Calculated values
Calculated density, g cm⁻³: 7.4
Polymorph energy (0 for the lowest one), eV per atom: 0.0862
Size of the total moment, μB per cell: 0.5
Uncorrected energy, eV/atom: -4.664
Energy relative to the elements, meV/atom: -161


Entry from Alexandria via LeMat-Bulk: a relaxed structure of Pr5Y4Hg4 (PBE).

Cell lengths 12.355, 12.355, 5.231 Å; angles 90.00, 90.00, 90.00 degrees
Space group I4/m (No. 87)
Inequivalent atoms, fractional coordinates:
Pr (0.000, 0.000, 0.000) (multiplicity 2)
Pr (0.119, 0.186, 0.500) (multiplicity 8)
Y (0.096, 0.396, 0.000) (multiplicity 8)
Hg (0.093, 0.757, 0.000) (multiplicity 8)

Calculated values
Calculated density, g cm⁻³: 7.7
Size of the total moment, μB per cell: 0.0
Uncorrected energy, eV/atom: -4.234
Energy relative to the elements, meV/atom: -314


Entry from Alexandria via LeMat-Bulk: a relaxed structure of Pr2Y2Hg (PBE).

Cell lengths 3.663, 3.663, 23.358 Å; angles 90.00, 90.00, 90.00 degrees
Space group I4/mmm (No. 139)
Inequivalent atoms, fractional coordinates:
Pr (0.000, 0.000, 0.193) (multiplicity 4)
Y (0.000, 0.000, 0.417) (multiplicity 4)
Hg (0.000, 0.000, 0.000) (multiplicity 2)

Calculated values
Calculated density, g cm⁻³: 7.0
Polymorph energy (0 for the lowest one), eV per atom: 0.0000
Size of the total moment, μB per cell: 1.1
Uncorrected energy, eV/atom: -4.751
Energy relative to the elements, meV/atom: -194


Entry from Alexandria via LeMat-Bulk: a relaxed structure of Pr4YHg5 (PBE).

Cell lengths 3.832, 3.832, 19.258 Å; angles 90.00, 90.00, 90.00 degrees
Space group P4/mmm (No. 123)
Inequivalent atoms, fractional coordinates:
Pr (0.000, 0.000, 0.102) (multiplicity 2)
Pr (0.000, 0.000, 0.304) (multiplicity 2)
Y (0.000, 0.000, 0.500) (multiplicity 1)
Hg (0.500, 0.500, 0.000) (multiplicity 1)
Hg (0.500, 0.500, 0.202) (multiplicity 2)
Hg (0.500, 0.500, 0.409) (multiplicity 2)

Calculated values
Calculated density, g cm⁻³: 9.7
Size of the total moment, μB per cell: 2.1
Uncorrected energy, eV/atom: -3.185
Energy relative to the elements, meV/atom: -476


Entry from Alexandria via LeMat-Bulk: a relaxed structure of Pr5YHg3 (PBE).

Cell lengths 9.4390, 9.4390, 7.0674 Å; angles 90.00, 90.00, 120.00 degrees
Space group P6_3/mcm (No. 193)
Inequivalent atoms, fractional coordinates:
Pr (0.0000, 0.3374, 0.2500) (multiplicity 6)
Pr (0.3333, 0.6667, 0.0000) (multiplicity 4)
Y (0.0000, 0.0000, 0.0000) (multiplicity 2)
Hg (0.0000, 0.3237, 0.7500) (multiplicity 6)

Calculated values
Calculated density, g cm⁻³: 8.5
Size of the total moment, μB per cell: 0.0
Uncorrected energy, eV/atom: -3.761
Energy relative to the elements, meV/atom: -287


Entry from Alexandria via LeMat-Bulk: a relaxed structure of Pr2Y3Hg2 (PBE).

Cell lengths 12.127, 4.794, 8.339 Å; angles 90.00, 115.74, 90.00 degrees
Space group C2/m (No. 12)
Inequivalent atoms, fractional coordinates:
Pr (0.137, 0.000, 0.293) (multiplicity 4)
Y (0.000, 0.500, 0.500) (multiplicity 2)
Y (0.129, 0.500, 0.957) (multiplicity 4)
Hg (0.150, 0.000, 0.701) (multiplicity 4)

Calculated values
Calculated density, g cm⁻³: 7.2
Size of the total moment, μB per cell: 0.0
Uncorrected energy, eV/atom: -4.435
Energy relative to the elements, meV/atom: -213


Entry from Alexandria via LeMat-Bulk: a relaxed structure of Pr4Y5Hg (PBE).

Cell lengths 3.655, 3.655, 24.355 Å; angles 90.00, 90.00, 90.00 degrees
Space group P4/mmm (No. 123)
Inequivalent atoms, fractional coordinates:
Pr (0.000, 0.000, 0.105) (multiplicity 2)
Pr (0.000, 0.000, 0.315) (multiplicity 2)
Y (0.500, 0.500, 0.000) (multiplicity 1)
Y (0.500, 0.500, 0.210) (multiplicity 2)
Y (0.500, 0.500, 0.420) (multiplicity 2)
Hg (0.000, 0.000, 0.500) (multiplicity 1)

Calculated values
Calculated density, g cm⁻³: 6.2
Size of the total moment, μB per cell: 0.0
Uncorrected energy, eV/atom: -5.264
Energy relative to the elements, meV/atom: -90


Entry from Alexandria via LeMat-Bulk: a relaxed structure of Pr9Y4Hg11 (PBE).

Cell lengths 15.991, 23.588, 3.608 Å; angles 90.00, 90.00, 90.00 degrees
Space group Cmmm (No. 65)
Inequivalent atoms, fractional coordinates:
Pr (0.000, 0.000, 0.000) (multiplicity 2)
Pr (0.112, 0.245, 0.000) (multiplicity 8)
Pr (0.126, 0.418, 0.000) (multiplicity 8)
Y (0.151, 0.096, 0.000) (multiplicity 8)
Hg (0.000, 0.138, 0.500) (multiplicity 4)
Hg (0.000, 0.336, 0.500) (multiplicity 4)
Hg (0.000, 0.500, 0.500) (multiplicity 2)
Hg (0.227, 0.000, 0.500) (multiplicity 4)
Hg (0.239, 0.322, 0.500) (multiplicity 8)

Calculated values
Calculated density, g cm⁻³: 9.3
Size of the total moment, μB per cell: 7.2
Uncorrected energy, eV/atom: -3.397
Energy relative to the elements, meV/atom: -389


Entry from Alexandria via LeMat-Bulk: a relaxed structure of PrYHg (PBE).

Cell lengths 5.1965, 5.1965, 3.9358 Å; angles 90.00, 90.00, 120.00 degrees
Space group P-6m2 (No. 187)
Inequivalent atoms, fractional coordinates:
Pr (0.0000, 0.0000, 0.0000) (multiplicity 1)
Y (0.6667, 0.3333, 0.5000) (multiplicity 1)
Hg (0.3333, 0.6667, 0.5000) (multiplicity 1)

Calculated values
Calculated density, g cm⁻³: 7.8
Polymorph energy (0 for the lowest one), eV per atom: 0.1528
Size of the total moment, μB per cell: 0.0
Uncorrected energy, eV/atom: -4.042
Energy relative to the elements, meV/atom: -194


Entry from Alexandria via LeMat-Bulk: a relaxed structure of PrY2Hg (PBE).

Cell lengths 3.669, 3.669, 8.950 Å; angles 90.00, 90.00, 90.00 degrees
Space group P4/mmm (No. 123)
Inequivalent atoms, fractional coordinates:
Pr (0.000, 0.000, 0.000) (multiplicity 1)
Y (0.500, 0.500, 0.286) (multiplicity 2)
Hg (0.000, 0.000, 0.500) (multiplicity 1)

Calculated values
Calculated density, g cm⁻³: 7.2
Polymorph energy (0 for the lowest one), eV per atom: 0.0000
Size of the total moment, μB per cell: 0.0
Uncorrected energy, eV/atom: -4.750
Energy relative to the elements, meV/atom: -247


Entry from Alexandria via LeMat-Bulk: a relaxed structure of Pr2Y2Hg (PBE).

Cell lengths 7.448, 10.402, 16.770 Å; angles 90.00, 90.00, 90.00 degrees
Space group Fmmm (No. 69)
Inequivalent atoms, fractional coordinates:
Pr (0.000, 0.000, 0.203) (multiplicity 8)
Pr (0.208, 0.000, 0.000) (multiplicity 8)
Y (0.000, 0.202, 0.396) (multiplicity 16)
Hg (0.250, 0.250, 0.250) (multiplicity 8)

Calculated values
Calculated density, g cm⁻³: 6.8
Polymorph energy (0 for the lowest one), eV per atom: 0.0394
Size of the total moment, μB per cell: 0.0
Uncorrected energy, eV/atom: -4.712
Energy relative to the elements, meV/atom: -154


Entry from Alexandria via LeMat-Bulk: a relaxed structure of PrY5Hg6 (PBE).

Cell lengths 5.275, 7.547, 8.381 Å; angles 90.00, 108.15, 90.00 degrees
Space group P2/m (No. 10)
Inequivalent atoms, fractional coordinates:
Pr (0.000, 0.000, 0.000) (multiplicity 1)
Y (0.000, 0.500, 0.000) (multiplicity 1)
Y (0.332, 0.000, 0.664) (multiplicity 2)
Y (0.336, 0.500, 0.671) (multiplicity 2)
Hg (0.170, 0.257, 0.341) (multiplicity 4)
Hg (0.500, 0.258, 0.000) (multiplicity 2)

Calculated values
Calculated density, g cm⁻³: 9.4
Size of the total moment, μB per cell: 0.8
Uncorrected energy, eV/atom: -3.741
Energy relative to the elements, meV/atom: -498


Entry from Alexandria via LeMat-Bulk: a relaxed structure of Pr12Y3Hg (PBE).

Cell lengths 5.127, 5.127, 20.815 Å; angles 90.00, 90.00, 90.00 degrees
Space group P4/mmm (No. 123)
Inequivalent atoms, fractional coordinates:
Pr (0.000, 0.000, 0.000) (multiplicity 1)
Pr (0.000, 0.000, 0.246) (multiplicity 2)
Pr (0.000, 0.000, 0.500) (multiplicity 1)
Pr (0.000, 0.500, 0.121) (multiplicity 4)
Pr (0.000, 0.500, 0.373) (multiplicity 4)
Y (0.500, 0.500, 0.247) (multiplicity 2)
Y (0.500, 0.500, 0.500) (multiplicity 1)
Hg (0.500, 0.500, 0.000) (multiplicity 1)

Calculated values
Calculated density, g cm⁻³: 6.6
Size of the total moment, μB per cell: 0.0
Uncorrected energy, eV/atom: -4.843
Energy relative to the elements, meV/atom: -27


Entry from Alexandria via LeMat-Bulk: a relaxed structure of Pr2YHg5 (PBE).

Cell lengths 5.235, 5.235, 15.345 Å; angles 90.00, 90.00, 90.00 degrees
Space group I4/mmm (No. 139)
Inequivalent atoms, fractional coordinates:
Pr (0.000, 0.000, 0.236) (multiplicity 4)
Y (0.000, 0.000, 0.500) (multiplicity 2)
Hg (0.000, 0.000, 0.000) (multiplicity 2)
Hg (0.000, 0.500, 0.117) (multiplicity 8)

Calculated values
Calculated density, g cm⁻³: 10.8
Size of the total moment, μB per cell: 0.5
Uncorrected energy, eV/atom: -2.609
Energy relative to the elements, meV/atom: -418


Entry from Alexandria via LeMat-Bulk: a relaxed structure of Pr2YHg3 (PBE).

Cell lengths 3.804, 3.804, 11.562 Å; angles 90.00, 90.00, 90.00 degrees
Space group P4/mmm (No. 123)
Inequivalent atoms, fractional coordinates:
Pr (0.000, 0.000, 0.171) (multiplicity 2)
Y (0.000, 0.000, 0.500) (multiplicity 1)
Hg (0.500, 0.500, 0.000) (multiplicity 1)
Hg (0.500, 0.500, 0.348) (multiplicity 2)

Calculated values
Calculated density, g cm⁻³: 9.7
Size of the total moment, μB per cell: 1.1
Uncorrected energy, eV/atom: -3.301
Energy relative to the elements, meV/atom: -479


Entry from Alexandria via LeMat-Bulk: a relaxed structure of PrYHg2 (PBE).

Cell lengths 3.756, 3.756, 7.759 Å; angles 90.00, 90.00, 90.00 degrees
Space group P4/mmm (No. 123)
Inequivalent atoms, fractional coordinates:
Pr (0.000, 0.000, 0.000) (multiplicity 1)
Y (0.000, 0.000, 0.500) (multiplicity 1)
Hg (0.500, 0.500, 0.270) (multiplicity 2)

Calculated values
Calculated density, g cm⁻³: 9.6
Polymorph energy (0 for the lowest one), eV per atom: 0.0000
Size of the total moment, μB per cell: 0.6
Uncorrected energy, eV/atom: -3.451
Energy relative to the elements, meV/atom: -489